DFT (PBE) results for LiYPuRu after structural relaxation.

Output
Energy relative to the elements = -79 meV/atom
ρ = 8800 kg/m3
DOS(E_F) = 9.77 states/eV/f.u.
SG = F-43m, No. 216
Magnetization = 5.58 μB/f.u.

abc: 4.9002 4.9002 4.9002
angles: 60.00 60.00 60.00
Fractional positions:
Y (0.0000, 0.0000, 0.0000)
Li (0.7500, 0.7500, 0.7500)
Pu (0.5000, 0.5000, 0.5000)
Ru (0.2500, 0.2500, 0.2500)



DFT (PBE) results for CoAg2Te after structural relaxation.

Output
ρ = 9162 kg/m3
DOS(E_F) = 4.62 states/eV/f.u.
SG = F-43m, No. 216
Calculated total energy = -14.34 eV/f.u.
Magnetization = 1.24 μB/f.u.

abc: 4.6892 4.6892 4.6892
angles: 60.00 60.00 60.00
Fractional positions:
Te (0.2500, 0.2500, 0.2500)
Co (0.5000, 0.5000, 0.5000)
Ag (0.0000, 0.0000, 0.0000)
Ag (0.7500, 0.7500, 0.7500)



DFT (PBE) results for Ac4YPt4 after structural relaxation.

Output
Energy relative to the elements = -1054 meV/atom
ρ = 10298 kg/m3
DOS(E_F) = 5.72 states/eV/f.u.
SG = C2/m, No. 12
Magnetization = 0.00 μB/f.u.

abc: 4.3786 7.4631 9.6322
angles: 74.86 76.86 72.94
Fractional positions:
Pt (0.2979, 0.1110, 0.2933)
Pt (0.9090, 0.2785, 0.9035)
Pt (0.0910, 0.7215, 0.0965)
Pt (0.7021, 0.8890, 0.7067)
Y (0.5000, 0.0000, 0.0000)
Ac (0.8911, 0.8256, 0.3923)
Ac (0.1089, 0.1744, 0.6077)
Ac (0.3008, 0.5876, 0.8109)
Ac (0.6992, 0.4124, 0.1891)



DFT (PBE) results for AgTeSeI2 after structural relaxation.

Output
ρ = 5470 kg/m3
DOS(E_F) = 5.48 states/eV/f.u.
Energy relative to the lowest polymorph listed for this composition = 133 meV per atom
SG = P4/mmm, No. 123
Magnetization = 1.22 μB/f.u.

abc: 5.5171 5.5171 5.6668
angles: 90.00 90.00 90.00
Fractional positions:
Ag (0.0000, 0.0000, 0.0000)
Se (0.5000, 0.5000, 0.5000)
I (0.0000, 0.5000, 0.0000)
I (0.5000, 0.0000, 0.0000)
Te (0.0000, 0.0000, 0.5000)



DFT (PBE) results for ReAg2Ru after structural relaxation.

Output
Energy relative to the elements = 605 meV/atom
ρ = 13195 kg/m3
DOS(E_F) = 3.33 states/eV/f.u.
Energy relative to the lowest polymorph listed for this composition = 356 meV per atom
SG = C2/m, No. 12
Magnetization = 0.49 μB/f.u.

abc: 5.0949 5.0949 4.6985
angles: 81.08 81.08 31.73
Fractional positions:
Ru (0.2500, 0.2500, 0.2500)
Ag (0.0006, 0.0006, 0.9996)
Ag (0.4994, 0.4994, 0.5004)
Re (0.7500, 0.7500, 0.7500)



DFT (PBE) results for ScTaRe2Pt after structural relaxation.

Output
Energy relative to the elements = 2079 meV/atom
ρ = 14036 kg/m3
DOS(E_F) = 4.24 states/eV/f.u.
SG = P4/mmm, No. 123
Magnetization = 0.00 μB/f.u.

abc: 4.5157 4.6030 4.5157
angles: 90.00 90.00 90.00
Fractional positions:
Pt (0.5000, 0.5000, 0.5000)
Re (0.0000, 0.0000, 0.5000)
Re (0.5000, 0.0000, 0.0000)
Sc (0.0000, 0.0000, 0.0000)
Ta (0.0000, 0.5000, 0.0000)



DFT (PBE) results for SiNi2W2 after structural relaxation.

Output
ρ = 11565 kg/m3
DOS(E_F) = 5.46 states/eV/f.u.
Energy relative to the lowest polymorph listed for this composition = 57 meV per atom
SG = P4/mbm, No. 127
Magnetization = 0.00 μB/f.u.

abc: 6.4449 6.4449 3.5478
angles: 90.00 90.00 90.00
Fractional positions:
Ni (0.8622, 0.3622, 0.5000)
Ni (0.6378, 0.8622, 0.5000)
Ni (0.3622, 0.1378, 0.5000)
Ni (0.1378, 0.6378, 0.5000)
Si (0.0000, 0.0000, 0.0000)
Si (0.5000, 0.5000, 0.0000)
W (0.3480, 0.8480, 0.0000)
W (0.1520, 0.3480, 0.0000)
W (0.6520, 0.1520, 0.0000)
W (0.8480, 0.6520, 0.0000)



DFT (PBE) results for Pt3Se2 after structural relaxation.

Output
ρ = 12755 kg/m3
DOS(E_F) = 3.69 states/eV/f.u.
SG = Fdd2, No. 43
Calculated total energy = -25.51 eV/f.u.
Magnetization = 0.00 μB/f.u.

abc: 8.0794 5.5292 7.4294
angles: 75.56 41.51 62.93
Fractional positions:
Pt (0.7613, 0.4668, 0.3766)
Pt (0.1900, 0.3100, 0.3100)
Pt (0.7832, 0.4887, 0.8547)
Pt (0.8734, 0.8547, 0.4887)
Pt (0.3953, 0.3766, 0.4668)
Pt (0.9400, 0.0600, 0.0600)
Se (0.9653, 0.6529, 0.9437)
Se (0.3063, 0.8119, 0.2847)
Se (0.5971, 0.2847, 0.8119)
Se (0.4381, 0.9437, 0.6529)



DFT (PBE) results for HfHgSbI2 after structural relaxation.

Output
ρ = 6893 kg/m3
DOS(E_F) = 3.15 states/eV/f.u.
Energy relative to the lowest polymorph listed for this composition = 1060 meV per atom
SG = P4/mmm, No. 123
Magnetization = 0.62 μB/f.u.

abc: 5.6701 5.6701 5.6545
angles: 90.00 90.00 90.00
Fractional positions:
Hf (0.5000, 0.5000, 0.5000)
Sb (0.0000, 0.0000, 0.5000)
I (0.0000, 0.5000, 0.0000)
I (0.5000, 0.0000, 0.0000)
Hg (0.0000, 0.0000, 0.0000)



DFT (PBE) results for Dy4Y9Ho11 after structural relaxation.

Output
Energy relative to the elements = 45 meV/atom
ρ = 7093 kg/m3
DOS(E_F) = 31.16 states/eV/f.u.
SG = Cmmm, No. 65
Magnetization = 0.71 μB/f.u.

abc: 3.6586 15.0576 15.0576
angles: 112.89 90.00 90.00
Fractional positions:
Ho (0.0000, 0.2921, 0.2921)
Ho (0.0000, 0.8406, 0.1594)
Ho (0.0000, 0.6329, 0.3671)
Ho (0.0000, 0.0456, 0.4076)
Ho (0.0000, 0.1594, 0.8406)
Ho (0.0000, 0.5924, 0.9544)
Ho (0.0000, 0.3671, 0.6329)
Ho (0.0000, 0.0000, 0.0000)
Ho (0.0000, 0.4076, 0.0456)
Ho (0.0000, 0.9544, 0.5924)
Ho (0.0000, 0.7079, 0.7079)
Dy (0.5000, 0.5539, 0.7555)
Dy (0.5000, 0.7555, 0.5539)
Dy (0.5000, 0.2445, 0.4461)
Dy (0.5000, 0.4461, 0.2445)
Y (0.5000, 0.1633, 0.6318)
Y (0.5000, 0.6318, 0.1633)
Y (0.5000, 0.5000, 0.5000)
Y (0.5000, 0.9317, 0.7858)
Y (0.5000, 0.0683, 0.2142)
Y (0.5000, 0.8367, 0.3682)
Y (0.5000, 0.7858, 0.9317)
Y (0.5000, 0.2142, 0.0683)
Y (0.5000, 0.3682, 0.8367)



DFT (PBE) results for Na3Pr2UTe6 after structural relaxation.

Output
ρ = 5541 kg/m3
DOS(E_F) = 9.89 states/eV/f.u.
SG = C2/m, No. 12
Calculated total energy = -57.27 eV/f.u.
Magnetization = 2.99 μB/f.u.

abc: 7.8613 7.8613 8.0238
angles: 99.40 99.40 120.00
Fractional positions:
Te (0.2469, 0.2469, 0.7597)
Te (0.4074, 0.0798, 0.2402)
Te (0.7531, 0.7531, 0.2403)
Te (0.0798, 0.4074, 0.2402)
Te (0.5926, 0.9202, 0.7598)
Te (0.9202, 0.5926, 0.7598)
Na (0.1691, 0.8309, 0.5000)
Na (0.5000, 0.5000, 0.5000)
Na (0.8309, 0.1691, 0.5000)
Pr (0.3338, 0.6662, 0.0000)
Pr (0.6662, 0.3338, 0.0000)
U (0.0000, 0.0000, 0.0000)



DFT (PBE) results for SrNiSb2 after structural relaxation.

Output
ρ = 6376 kg/m3
DOS(E_F) = 3.10 states/eV/f.u.
SG = F-43m, No. 216
Calculated total energy = -15.49 eV/f.u.
Magnetization = 0.00 μB/f.u.

abc: 5.2365 5.2365 5.2365
angles: 60.00 60.00 60.00
Fractional positions:
Ni (0.5000, 0.5000, 0.5000)
Sr (0.7500, 0.7500, 0.7500)
Sb (0.2500, 0.2500, 0.2500)
Sb (0.0000, 0.0000, 0.0000)